1.
! PBE-GGA Rb6HfF12, optimized geometry; values from VASP
&SYSTEM
  ibrav = 0, nat = 19, ntyp = 3
/
ATOMIC_SPECIES
F 19.00 F.upf
Rb 85.47 Rb.upf
Hf 178.49 Hf.upf
CELL_PARAMETERS angstrom
7.676 -0.430 -0.879
-0.936 7.631 -0.879
-0.403 -0.430 7.716
ATOMIC_POSITIONS angstrom
F 3.939 3.250 0.172
F -0.211 1.544 7.344
F 5.981 2.626 2.990
F 3.122 6.141 2.036
F 0.356 4.145 2.967
F 7.426 -0.108 1.096
F 1.057 7.403 -0.665
F 2.399 3.520 5.785
F 5.280 -0.632 6.622
F 6.548 5.227 -1.387
F 3.216 0.629 3.921
F -1.088 6.879 4.860
Rb 0.713 1.760 4.319
Rb 1.469 4.462 0.444
Rb 4.869 2.309 5.512
Rb 5.625 5.011 1.638
Rb 1.921 5.943 4.518
Rb 4.417 0.828 1.438
Hf 0.000 0.000 0.000
! formation energy from raw total energies = -2782 meV/atom
! crystal system = trigonal
! space-group type = R-3 (148)


2.
! PBE-GGA Rb2HfF6, optimized geometry; values from VASP
&SYSTEM
  ibrav = 0, nat = 9, ntyp = 3
/
ATOMIC_SPECIES
F 19.00 F.upf
Rb 85.47 Rb.upf
Hf 178.49 Hf.upf
CELL_PARAMETERS angstrom
6.208 0.000 0.000
-3.104 5.376 0.000
0.000 0.000 4.922
ATOMIC_POSITIONS angstrom
F 4.755 0.839 3.810
F 0.000 1.677 1.112
F 3.104 3.699 3.810
F -1.651 4.538 1.112
F 1.651 4.538 1.112
F 1.453 0.839 3.810
Rb 3.104 1.792 1.539
Rb 0.000 3.584 3.384
Hf 0.000 0.000 0.000
! formation energy from raw total energies = -3474 meV/atom
! crystal system = trigonal
! space-group type = P-3m1 (164)